# 1
Here is a PBEsol-optimized structure of Zr2InRu from Alexandria. Energies are from meta-GGA SCAN.

Summary:
Its mass density is 8.61 g/cm³. The energy of formation comes out at -0.39 eV per atom.

abc: 3.7154 4.8083 5.2651
angles: 117.17 110.66 90.00
Positions (direct):
In  0.5000  0.0000  0.0000
Ru  0.0000  0.5000  0.0000
Zr  0.7163  0.7163  0.4326
Zr  0.2837  0.2837  0.5674

***

# 2
Here is a PBEsol-optimized structure of Na3MnCd from Alexandria. Energies are from meta-GGA SCAN.

Summary:
Its mass density is 2.23 g/cm³. The energy of formation comes out at 0.51 eV per atom.

abc: 5.6028 5.6028 5.6028
angles: 90.00 90.00 90.00
Site moments in Bohr magnetons follow the coordinates.
Positions (direct):
Na  0.0000  0.5000  0.0000  -0.01
Na  0.0000  0.0000  0.5000  -0.01
Na  0.5000  0.0000  0.0000  -0.01
Mn  0.5000  0.5000  0.5000  4.75
Cd  0.0000  0.0000  0.0000  -0.01

***

# 3
Here is a PBEsol-optimized structure of Al5Ag7 from Alexandria. Energies are from meta-GGA SCAN.

Summary:
For the offset from the most stable computed form, the calculation gives 20 meV per atom. Its mass density is 7.60 g/cm³. The energy of formation comes out at -0.08 eV per atom.

abc: 2.9098 2.9098 26.5331
angles: 90.00 90.00 120.00
Positions (direct):
Al  0.0000  0.0000  0.2513
Al  0.0000  0.0000  0.5019
Al  0.3333  0.6667  0.6662
Al  0.0000  0.0000  0.7498
Al  0.3333  0.6667  0.9140
Ag  0.0000  0.0000  0.9944
Ag  0.6667  0.3333  0.0823
Ag  0.3333  0.6667  0.1702
Ag  0.6667  0.3333  0.3326
Ag  0.3333  0.6667  0.4212
Ag  0.6667  0.3333  0.5847
Ag  0.6667  0.3333  0.8313

***

# 4
Here is a PBEsol-optimized structure of NaPPt2Pb from Alexandria. Energies are from meta-GGA SCAN.

Summary:
Its mass density is 10.46 g/cm³. The energy of formation comes out at 1.21 eV per atom.

abc: 4.5793 4.7521 4.7521
angles: 90.00 90.00 90.00
Positions (direct):
Pb  0.5000  0.5000  0.5000
P  0.5000  0.0000  0.0000
Pt  0.0000  0.0000  0.5000
Pt  0.0000  0.5000  0.0000
Na  0.0000  0.0000  0.0000

***

# 5
Here is a PBEsol-optimized structure of LaTb3Mo4O14 from Alexandria. Energies are from meta-GGA SCAN.

Summary:
Its mass density is 7.44 g/cm³. Its formation energy from raw total energies is -2899 meV/atom.

abc: 7.2872 7.2872 7.2872
angles: 59.91 59.91 59.91
Site moments in Bohr magnetons follow the coordinates.
Positions (direct):
La  0.5000  0.5000  0.5000  0.01
Tb  0.0000  0.5000  0.5000  0.03
Tb  0.5000  0.5000  0.0000  0.03
Tb  0.5000  0.0000  0.5000  0.03
Mo  0.0000  0.0000  0.0000  1.72
Mo  0.5000  0.0000  0.0000  1.86
Mo  0.0000  0.0000  0.5000  1.86
Mo  0.0000  0.5000  0.0000  1.86
O  0.9221  0.3346  0.3346  0.02
O  0.3338  0.9153  0.9153  0.02
O  0.3346  0.3346  0.9221  0.02
O  0.9153  0.9153  0.3338  0.02
O  0.9153  0.3338  0.9153  0.02
O  0.3346  0.9221  0.3346  0.02
O  0.0779  0.6654  0.6654  0.02
O  0.6662  0.0847  0.0847  0.02
O  0.6654  0.6654  0.0779  0.02
O  0.0847  0.0847  0.6662  0.02
O  0.0847  0.6662  0.0847  0.02
O  0.6654  0.0779  0.6654  0.02
O  0.3705  0.3705  0.3705  0.00
O  0.6295  0.6295  0.6295  0.00

***

# 6
Here is a PBEsol-optimized structure of K2Nb6AgP3O24 from Alexandria. Energies are from meta-GGA SCAN.

Summary:
Its mass density is 3.72 g/cm³. Its formation energy from raw total energies is -2579 meV/atom.

abc: 8.5197 8.5197 8.4928
angles: 104.62 104.62 104.10
Site moments in Bohr magnetons follow the coordinates.
Positions (direct):
K  0.9219  0.5869  0.3433  0.00
K  0.4131  0.0781  0.6567  0.00
Nb  0.8478  0.9667  0.6520  0.00
Nb  0.6444  0.8432  0.9586  0.00
Nb  0.1568  0.3556  0.0414  0.00
Nb  0.9642  0.6473  0.8459  0.00
Nb  0.0333  0.1522  0.3480  0.00
Nb  0.3527  0.0358  0.1541  0.00
Ag  0.4941  0.5059  0.5000  0.07
P  0.5029  0.7324  0.2705  0.00
P  0.2676  0.4971  0.7295  0.00
P  0.7281  0.2719  0.5000  0.00
O  0.4976  0.9754  0.0224  0.00
O  0.8467  0.0018  0.1472  0.00
O  0.4261  0.8787  0.2950  0.00
O  0.1541  0.8459  0.0000  0.00
O  0.6776  0.9271  0.7805  0.00
O  0.5795  0.7155  0.1247  0.00
O  0.6461  0.7610  0.4401  0.01
O  0.3610  0.5614  0.2362  0.01
O  0.9322  0.7902  0.6845  0.00
O  0.1213  0.5739  0.7050  0.00
O  0.4386  0.6390  0.7638  0.01
O  0.7899  0.6912  0.9276  0.00
O  0.0246  0.5024  0.9776  0.00
O  0.0729  0.3224  0.2195  0.00
O  0.2390  0.3539  0.5599  0.01
O  0.2845  0.4205  0.8753  0.00
O  0.3088  0.2101  0.0724  0.00
O  0.7636  0.4472  0.6374  0.00
O  0.5528  0.2364  0.3626  0.00
O  0.8688  0.2877  0.4168  0.00
O  0.2098  0.0678  0.3155  0.00
O  0.7123  0.1312  0.5833  0.00
O  0.9982  0.1533  0.8528  0.00
O  0.9731  0.0269  0.5000  0.00

***

# 7
Here is a PBEsol-optimized structure of CrAsW from Alexandria. Energies are from meta-GGA SCAN.

Summary:
For the offset from the most stable computed form, the calculation gives 0 meV per atom. Its mass density is 12.46 g/cm³. The energy of formation comes out at 0.27 eV per atom.

abc: 2.8008 4.1322 4.1322
angles: 120.00 90.00 90.00
Positions (direct):
As  0.8264  0.0000  0.0000
Cr  0.7972  0.3333  0.6667
W  0.3764  0.6667  0.3333

***

# 8
Here is a PBEsol-optimized structure of NiIr2Se from Alexandria. Energies are from meta-GGA SCAN.

Summary:
For the offset from the most stable computed form, the calculation gives 22 meV per atom. Its mass density is 15.80 g/cm³. Its formation energy from raw total energies is 391 meV/atom.

abc: 2.8783 3.4124 5.5863
angles: 90.00 90.00 90.00
Site moments in Bohr magnetons follow the coordinates.
Positions (direct):
Ir  0.0000  0.0000  0.7653  -0.24
Ir  0.0000  0.0000  0.2347  -0.24
Ni  0.5000  0.5000  0.0000  -0.91
Se  0.5000  0.5000  0.5000  0.04

***

# 9
Here is a PBEsol-optimized structure of SrCo3C from Alexandria. Energies are from meta-GGA SCAN.

Summary:
For the offset from the most stable computed form, the calculation gives 0 meV per atom. Its mass density is 7.60 g/cm³. The energy of formation comes out at 0.52 eV per atom.

abc: 3.9236 3.9236 3.9236
angles: 90.00 90.00 90.00
Site moments in Bohr magnetons follow the coordinates.
Positions (direct):
Sr  0.5000  0.5000  0.5000  -0.13
C  0.0000  0.0000  0.0000  0.00
Co  0.0000  0.5000  0.0000  0.99
Co  0.0000  0.0000  0.5000  0.99
Co  0.5000  0.0000  0.0000  0.99

***

# 10
Here is a PBEsol-optimized structure of Gd2ZnHg from Alexandria. Energies are from meta-GGA SCAN.

Summary:
Its mass density is 10.16 g/cm³. The energy of formation comes out at -0.52 eV per atom.

abc: 5.1189 5.1189 5.1189
angles: 60.00 60.00 60.00
Site moments in Bohr magnetons follow the coordinates.
Positions (direct):
Zn  0.5000  0.5000  0.5000  0.01
Gd  0.7500  0.7500  0.7500  7.34
Gd  0.2500  0.2500  0.2500  7.34
Hg  0.0000  0.0000  0.0000  0.04

***

# 11
Here is a PBEsol-optimized structure of BeInCl from Alexandria. Energies are from meta-GGA SCAN.

Summary:
For the offset from the most stable computed form, the calculation gives 443 meV per atom. Its mass density is 3.42 g/cm³. Its formation energy from raw total energies is 479 meV/atom.

abc: 4.7822 4.7822 4.7822
angles: 60.00 60.00 60.00
Positions (direct):
Be  0.0000  0.0000  0.0000
In  0.2500  0.2500  0.2500
Cl  0.5000  0.5000  0.5000

***

# 12
Here is a PBEsol-optimized structure of TaPBr3 from Alexandria. Energies are from meta-GGA SCAN.

Summary:
Its mass density is 5.99 g/cm³. Its formation energy from raw total energies is 1180 meV/atom.

abc: 5.0031 5.0031 5.0031
angles: 90.00 90.00 90.00
Site moments in Bohr magnetons follow the coordinates.
Positions (direct):
P  0.0000  0.0000  0.0000  -0.08
Br  0.0000  0.5000  0.0000  0.00
Br  0.0000  0.0000  0.5000  0.00
Br  0.5000  0.0000  0.0000  0.00
Ta  0.5000  0.5000  0.5000  2.41

***

# 13
Here is a PBEsol-optimized structure of HW3S from Alexandria. Energies are from meta-GGA SCAN.

Summary:
As for the total energy: -42.45 eV/atom. Its mass density is 11.72 g/cm³.

abc: 4.3586 4.3586 4.3586
angles: 90.00 90.00 90.00
Positions (direct):
H  0.5000  0.5000  0.5000
S  0.0000  0.0000  0.0000
W  0.0000  0.5000  0.0000
W  0.0000  0.0000  0.5000
W  0.5000  0.0000  0.0000

***

# 14
Here is a PBEsol-optimized structure of MgZrCu2 from Alexandria. Energies are from meta-GGA SCAN.

Summary:
Its mass density is 6.33 g/cm³. The energy of formation comes out at -0.14 eV per atom.

abc: 2.9868 3.2690 6.5228
angles: 90.00 90.00 90.00
Positions (direct):
Mg  0.5000  0.5000  0.0000
Cu  0.0000  0.0000  0.7550
Cu  0.0000  0.0000  0.2450
Zr  0.5000  0.5000  0.5000

***

# 15
Here is a PBEsol-optimized structure of NaGe2Pd2 from Alexandria. Energies are from meta-GGA SCAN.

Summary:
For the offset from the most stable computed form, the calculation gives 127 meV per atom. Its mass density is 7.67 g/cm³. The energy of formation comes out at -0.37 eV per atom.

abc: 2.8964 7.5472 7.5472
angles: 90.00 90.00 90.00
Positions (direct):
Na  0.0000  0.0000  0.0000
Na  0.0000  0.5000  0.5000
Ge  0.5000  0.1562  0.6562
Ge  0.5000  0.6562  0.8438
Ge  0.5000  0.8438  0.3438
Ge  0.5000  0.3438  0.1562
Pd  0.0000  0.3621  0.8621
Pd  0.0000  0.8621  0.6379
Pd  0.0000  0.6379  0.1379
Pd  0.0000  0.1379  0.3621

***

# 16
Here is a PBEsol-optimized structure of Cr2ReP from Alexandria. Energies are from meta-GGA SCAN.

Summary:
Its mass density is 10.77 g/cm³. The energy of formation comes out at 0.21 eV per atom.

abc: 2.7374 2.7374 7.7921
angles: 79.88 79.88 60.00
Positions (direct):
Cr  0.0057  0.0057  0.9828
Cr  0.7507  0.7507  0.7479
P  0.4950  0.4950  0.5150
Re  0.2485  0.2485  0.2544

***

# 17
Here is a PBEsol-optimized structure of Al3Cr from Alexandria. Energies are from meta-GGA SCAN.

Summary:
Its mass density is 3.95 g/cm³. The energy of formation comes out at -0.19 eV per atom.

abc: 4.7928 4.7928 4.7928
angles: 134.06 134.06 66.99
Site moments in Bohr magnetons follow the coordinates.
Positions (direct):
Cr  0.0000  0.0000  0.0000  2.33
Al  0.7500  0.2500  0.5000  -0.06
Al  0.2500  0.7500  0.5000  -0.06
Al  0.5000  0.5000  0.0000  -0.05

***

# 18
Here is a PBEsol-optimized structure of TaInBr from Alexandria. Energies are from meta-GGA SCAN.

Summary:
For the offset from the most stable computed form, the calculation gives 177 meV per atom. Its mass density is 10.49 g/cm³. Its formation energy from raw total energies is 439 meV/atom.

abc: 3.0512 4.7445 4.7445
angles: 120.00 90.00 90.00
Positions (direct):
In  0.0000  0.3333  0.6667
Br  0.5000  0.0000  0.0000
Ta  0.5000  0.6667  0.3333

***

# 19
Here is a PBEsol-optimized structure of Sr5Ge3 from Alexandria. Energies are from meta-GGA SCAN.

Summary:
Its mass density is 4.31 g/cm³. The energy of formation comes out at -0.61 eV per atom.

abc: 8.0236 8.0236 9.6885
angles: 114.46 114.46 90.00
Positions (direct):
Sr  0.9634  0.8199  0.2834
Sr  0.4634  0.9634  0.2834
Sr  0.8199  0.3199  0.2834
Sr  0.5366  0.0366  0.7166
Sr  0.3199  0.4634  0.2834
Sr  0.0366  0.1801  0.7166
Sr  0.6801  0.5366  0.7166
Sr  0.1801  0.6801  0.7166
Sr  0.5000  0.5000  0.0000
Sr  0.0000  0.0000  0.0000
Ge  0.8867  0.3867  0.0000
Ge  0.3867  0.1133  0.0000
Ge  0.6133  0.8867  0.0000
Ge  0.1133  0.6133  0.0000
Ge  0.2500  0.2500  0.5000
Ge  0.7500  0.7500  0.5000

***

# 20
Here is a PBEsol-optimized structure of K2TlHg from Alexandria. Energies are from meta-GGA SCAN.

Summary:
For the offset from the most stable computed form, the calculation gives 66 meV per atom. Its mass density is 5.82 g/cm³. The energy of formation comes out at -0.17 eV per atom.

abc: 4.1986 4.6648 7.0412
angles: 90.00 90.00 90.00
Positions (direct):
K  0.0000  0.0000  0.7455
K  0.0000  0.0000  0.2545
Tl  0.5000  0.5000  0.0000
Hg  0.5000  0.5000  0.5000